{
  "formula": "VGeIO2",
  "functional": "PBE+U",
  "state": "optimized geometry",
  "energy_ev_per_atom": -4.90,
  "sg": "P4/mmm (123)",
  "dos_at_fermi_per_ev_atom": 0.280,
  "e_above_lowest_polymorph_mev_per_atom": 255.9,
  "magmom_total_mub_per_fu": 3.56,
  "lattice": [[3.906, 0.000, 0.000], [0.000, 3.906, 0.000], [0.000, 0.000, 5.921]],
  "species": ["V", "Ge", "I", "O", "O"],
  "frac_coords": [[0.000, 0.000, 0.000], [0.500, 0.500, 0.500], [0.500, 0.500, 0.000], [0.000, 0.500, 0.500], [0.500, 0.000, 0.500]]
}